No. 1
The following is a DFT calculation (PBE) of an optimized crystal structure of In3Bi3Pb4.

Output
For the formation energy, the calculation gives 0.643 eV/f.u.

Cell and atoms, written as CIF:
```
data_In3Bi3Pb4
_cell_length_a 10.195
_cell_length_b 10.445
_cell_length_c 12.129
_cell_angle_alpha 90.00
_cell_angle_beta 90.00
_cell_angle_gamma 90.00
_symmetry_space_group_name_H-M 'I 21 21 21'
_symmetry_Int_Tables_number 24
loop_
_symmetry_equiv_pos_as_xyz
'x,y,z'
'-x,-y+1/2,z'
'x,-y,-z+1/2'
'-x,y+1/2,-z+1/2'
'x+1/2,y+1/2,z+1/2'
'-x+1/2,-y,z+1/2'
'x+1/2,-y+1/2,-z'
'-x+1/2,y,-z'
loop_
_atom_site_label
_atom_site_type_symbol
_atom_site_fract_x
_atom_site_fract_y
_atom_site_fract_z
In1 In 0.000 0.250 0.098
In2 In 0.107 0.000 0.750
In3 In 0.250 0.436 0.500
Bi1 Bi 0.000 0.250 0.598
Bi2 Bi 0.089 0.500 0.250
Bi3 Bi 0.250 0.099 0.000
Pb1 Pb 0.155 0.333 0.838
Pb2 Pb 0.156 0.172 0.363
```

---

No. 2
The following is a DFT calculation (PBE) of an optimized crystal structure of In3BiPb4.

Output
For the formation energy, the calculation gives 0.138 eV/f.u.

Cell and atoms, written as CIF:
```
data_In3BiPb4
_cell_length_a 7.010
_cell_length_b 7.037
_cell_length_c 9.843
_cell_angle_alpha 90.00
_cell_angle_beta 90.00
_cell_angle_gamma 90.00
_symmetry_space_group_name_H-M 'P m n a'
_symmetry_Int_Tables_number 53
loop_
_symmetry_equiv_pos_as_xyz
'x,y,z'
'-x,-y,-z'
'-x+1/2,-y,z+1/2'
'x+1/2,y,-z+1/2'
'x,-y,-z'
'-x,y,z'
'-x+1/2,y,-z+1/2'
'x+1/2,-y,z+1/2'
loop_
_atom_site_label
_atom_site_type_symbol
_atom_site_fract_x
_atom_site_fract_y
_atom_site_fract_z
In1 In 0.000 0.000 0.000
In2 In 0.250 0.245 0.250
Bi1 Bi 0.000 0.500 0.500
Pb1 Pb 0.000 0.000 0.500
Pb2 Pb 0.000 0.500 0.000
Pb3 Pb 0.250 0.248 0.750
```

---

No. 3
The following is a DFT calculation (PBE) of an optimized crystal structure of In7Bi2Pb3.

Output
For the formation energy, the calculation gives 0.730 eV/f.u.

Cell and atoms, written as CIF:
```
data_In7Bi2Pb3
_cell_length_a 5.451
_cell_length_b 3.479
_cell_length_c 19.066
_cell_angle_alpha 90.00
_cell_angle_beta 93.35
_cell_angle_gamma 90.00
_symmetry_space_group_name_H-M 'P 1 2/m 1'
_symmetry_Int_Tables_number 10
loop_
_symmetry_equiv_pos_as_xyz
'x,y,z'
'-x,-y,-z'
'-x,y,-z'
'x,-y,z'
loop_
_atom_site_label
_atom_site_type_symbol
_atom_site_fract_x
_atom_site_fract_y
_atom_site_fract_z
In1 In 0.000 0.000 0.000
In2 In 0.213 0.500 0.172
In3 In 0.257 0.500 0.536
In4 In 0.292 0.000 0.855
Bi1 Bi 0.275 0.500 0.704
Pb1 Pb 0.241 0.000 0.370
Pb2 Pb 0.500 0.500 0.000
```

---

No. 4
The following is a DFT calculation (PBE) of an optimized crystal structure of In5Bi2Pb2.

Output
For the formation energy, the calculation gives 0.843 eV/f.u.

Cell and atoms, written as CIF:
```
data_In5Bi2Pb2
_cell_length_a 18.214
_cell_length_b 4.433
_cell_length_c 7.481
_cell_angle_alpha 90.00
_cell_angle_beta 107.34
_cell_angle_gamma 90.00
_symmetry_space_group_name_H-M 'C 1 2/m 1'
_symmetry_Int_Tables_number 12
loop_
_symmetry_equiv_pos_as_xyz
'x,y,z'
'-x,-y,-z'
'-x,y,-z'
'x,-y,z'
'x+1/2,y+1/2,z'
'-x+1/2,-y+1/2,-z'
'-x+1/2,y+1/2,-z'
'x+1/2,-y+1/2,z'
loop_
_atom_site_label
_atom_site_type_symbol
_atom_site_fract_x
_atom_site_fract_y
_atom_site_fract_z
In1 In 0.000 0.000 0.000
In2 In 0.075 0.000 0.448
In3 In 0.124 0.500 0.187
Bi1 Bi 0.156 0.000 0.898
Pb1 Pb 0.224 0.500 0.654
```

---

No. 5
The following is a DFT calculation (PBE) of an optimized crystal structure of In4Bi2Pb.

Output
For the formation energy, the calculation gives 0.493 eV/f.u.

Cell and atoms, written as CIF:
```
data_In4Bi2Pb
_cell_length_a 11.505
_cell_length_b 6.266
_cell_length_c 11.787
_cell_angle_alpha 90.00
_cell_angle_beta 90.00
_cell_angle_gamma 90.00
_symmetry_space_group_name_H-M 'C m c e'
_symmetry_Int_Tables_number 64
_symmetry_space_group_name_Hall '-C 2ac 2'
loop_
_atom_site_label
_atom_site_type_symbol
_atom_site_fract_x
_atom_site_fract_y
_atom_site_fract_z
In1 In 0.000 0.004 0.207
In2 In 0.250 0.247 0.750
Bi1 Bi 0.193 0.000 0.000
Pb1 Pb 0.000 0.000 0.500
```

---

No. 6
The following is a DFT calculation (PBE) of an optimized crystal structure of In4Bi2Pb3.

Output
For the formation energy, the calculation gives 0.209 eV/f.u.

Cell and atoms, written as CIF:
```
data_In4Bi2Pb3
_cell_length_a 15.257
_cell_length_b 3.477
_cell_length_c 10.466
_cell_angle_alpha 90.00
_cell_angle_beta 103.18
_cell_angle_gamma 90.00
_symmetry_space_group_name_H-M 'C 1 2/m 1'
_symmetry_Int_Tables_number 12
loop_
_symmetry_equiv_pos_as_xyz
'x,y,z'
'-x,-y,-z'
'-x,y,-z'
'x,-y,z'
'x+1/2,y+1/2,z'
'-x+1/2,-y+1/2,-z'
'-x+1/2,y+1/2,-z'
'x+1/2,-y+1/2,z'
loop_
_atom_site_label
_atom_site_type_symbol
_atom_site_fract_x
_atom_site_fract_y
_atom_site_fract_z
In1 In 0.002 0.000 0.172
In2 In 0.165 0.500 0.385
Bi1 Bi 0.172 0.500 0.715
Pb1 Pb 0.000 0.000 0.500
Pb2 Pb 0.160 0.500 0.045
```

---

No. 7
The following is a DFT calculation (PBE) of an optimized crystal structure of In4Bi3Pb4.

Output
For the formation energy, the calculation gives 0.317 eV/f.u.

Cell and atoms, written as CIF:
```
data_In4Bi3Pb4
_cell_length_a 3.503
_cell_length_b 6.095
_cell_length_c 16.408
_cell_angle_alpha 87.80
_cell_angle_beta 89.79
_cell_angle_gamma 73.43
_symmetry_space_group_name_H-M 'P -1'
_symmetry_Int_Tables_number 2
loop_
_symmetry_equiv_pos_as_xyz
'x,y,z'
'-x,-y,-z'
loop_
_atom_site_label
_atom_site_type_symbol
_atom_site_fract_x
_atom_site_fract_y
_atom_site_fract_z
In1 In 0.041 0.419 0.318
In2 In 0.138 0.219 0.956
Bi1 Bi 0.324 0.857 0.222
Bi2 Bi 0.500 0.500 0.500
Pb1 Pb 0.235 0.042 0.594
Pb2 Pb 0.402 0.672 0.866
```

---

No. 8
The following is a DFT calculation (PBE) of an optimized crystal structure of In4Bi3Pb5.

Output
For the formation energy, the calculation gives 0.872 eV/f.u.

Cell and atoms, written as CIF:
```
data_In4Bi3Pb5
_cell_length_a 6.496
_cell_length_b 7.939
_cell_length_c 8.363
_cell_angle_alpha 108.34
_cell_angle_beta 91.32
_cell_angle_gamma 107.04
_symmetry_space_group_name_H-M 'P -1'
_symmetry_Int_Tables_number 2
loop_
_symmetry_equiv_pos_as_xyz
'x,y,z'
'-x,-y,-z'
loop_
_atom_site_label
_atom_site_type_symbol
_atom_site_fract_x
_atom_site_fract_y
_atom_site_fract_z
In1 In 0.005 0.339 0.316
In2 In 0.102 0.171 0.898
Bi1 Bi 0.000 0.000 0.500
Bi2 Bi 0.401 0.111 0.161
Pb1 Pb 0.282 0.631 0.053
Pb2 Pb 0.399 0.420 0.652
Pb3 Pb 0.500 0.000 0.500
```

---

No. 9
The following is a DFT calculation (PBE) of an optimized crystal structure of In3Bi4Pb.

Output
For the formation energy, the calculation gives 0.476 eV/f.u.

Cell and atoms, written as CIF:
```
data_In3Bi4Pb
_cell_length_a 15.596
_cell_length_b 5.815
_cell_length_c 5.873
_cell_angle_alpha 90.00
_cell_angle_beta 111.82
_cell_angle_gamma 90.00
_symmetry_space_group_name_H-M 'C 1 2/m 1'
_symmetry_Int_Tables_number 12
loop_
_symmetry_equiv_pos_as_xyz
'x,y,z'
'-x,-y,-z'
'-x,y,-z'
'x,-y,z'
'x+1/2,y+1/2,z'
'-x+1/2,-y+1/2,-z'
'-x+1/2,y+1/2,-z'
'x+1/2,-y+1/2,z'
loop_
_atom_site_label
_atom_site_type_symbol
_atom_site_fract_x
_atom_site_fract_y
_atom_site_fract_z
In1 In 0.000 0.000 0.000
In2 In 0.118 0.000 0.619
Bi1 Bi 0.140 0.500 0.141
Bi2 Bi 0.248 0.000 0.249
Pb1 Pb 0.000 0.500 0.500
```

---

No. 10
The following is a DFT calculation (PBE) of an optimized crystal structure of InBi3Pb3.

Output
The relative energy among the computed polymorphs is 0.298 eV/atom. For the formation energy, the calculation gives 2.448 eV/f.u.

Cell and atoms, written as CIF:
```
data_InBi3Pb3
_cell_length_a 8.775
_cell_length_b 8.775
_cell_length_c 8.775
_cell_angle_alpha 90.00
_cell_angle_beta 90.00
_cell_angle_gamma 90.00
_symmetry_space_group_name_H-M 'P m -3 n'
_symmetry_Int_Tables_number 223
_symmetry_space_group_name_Hall '-P 4n 2 3'
loop_
_atom_site_label
_atom_site_type_symbol
_atom_site_fract_x
_atom_site_fract_y
_atom_site_fract_z
In1 In 0.000 0.000 0.000
Bi1 Bi 0.000 0.250 0.500
Pb1 Pb 0.000 0.500 0.250
```